Entry from the Alexandria database: TbIn2Ag after structural relaxation (PBE-GGA).

Summary:
energy of formation from the pure elements: -265.9 meV/atom

Cell lengths 4.775, 4.775, 5.654 Å; angles 65.03, 65.03, 60.00 degrees
Fractional positions:
Tb 0.000 0.000 0.000
Ag 0.500 0.500 0.500
In 0.772 0.772 0.685
In 0.228 0.228 0.315

=====

Entry from the Alexandria database: Tb2In2Ag after structural relaxation (PBE-GGA).

Summary:
ΔE to the lowest computed polymorph: 0 meV/atom
energy of formation from the pure elements: -411.6 meV/atom

Cell lengths 3.505, 4.747, 7.901 Å; angles 107.48, 90.00, 90.00 degrees
Fractional positions:
Tb 0.000 0.693 0.387
Tb 0.000 0.923 0.846
In 0.500 0.305 0.610
In 0.500 0.510 0.020
Ag 0.500 0.110 0.220

=====

Entry from the Alexandria database: Tb2In2Ag after structural relaxation (PBE-GGA).

Summary:
ΔE to the lowest computed polymorph: 11 meV/atom
energy of formation from the pure elements: -400.5 meV/atom

Cell lengths 4.719, 6.077, 10.168 Å; angles 89.21, 76.58, 67.16 degrees
Fractional positions:
Tb 0.683 0.299 0.335
Tb 0.926 0.248 0.899
Tb 0.317 0.701 0.665
Tb 0.074 0.752 0.101
In 0.069 0.288 0.573
In 0.652 0.813 0.882
In 0.931 0.712 0.427
In 0.348 0.187 0.118
Ag 0.620 0.100 0.660
Ag 0.380 0.900 0.340

=====

Entry from the Alexandria database: Tb4In3Ag after structural relaxation (PBE-GGA).

Summary:
ΔE to the lowest computed polymorph: 0 meV/atom
energy of formation from the pure elements: -438.7 meV/atom

Cell lengths 3.585, 3.585, 16.317 Å; angles 90.00, 90.00, 90.00 degrees
Fractional positions:
Tb 0.000 0.000 0.885
Tb 0.000 0.000 0.115
Tb 0.000 0.000 0.371
Tb 0.000 0.000 0.629
Ag 0.500 0.500 0.000
In 0.500 0.500 0.241
In 0.500 0.500 0.500
In 0.500 0.500 0.759

=====

Entry from the Alexandria database: TbIn2Ag after structural relaxation (PBE-GGA).

Summary:
energy of formation from the pure elements: -341.9 meV/atom

Cell lengths 4.399, 4.640, 4.640 Å; angles 90.00, 90.00, 90.00 degrees
Fractional positions:
Tb 0.500 0.000 0.000
Ag 0.500 0.500 0.500
In 0.000 0.000 0.500
In 0.000 0.500 0.000

=====

Entry from the Alexandria database: Tb8InAg2 after structural relaxation (PBE-GGA).

Summary:
ΔE to the lowest computed polymorph: 0 meV/atom
energy of formation from the pure elements: -174.1 meV/atom

Cell lengths 5.238, 8.337, 8.556 Å; angles 117.27, 107.82, 90.00 degrees
Fractional positions:
Tb 0.600 0.460 0.200
Tb 0.315 0.037 0.629
Tb 0.146 0.204 0.292
Tb 0.065 0.726 0.130
Tb 0.854 0.796 0.708
Tb 0.685 0.963 0.371
Tb 0.400 0.540 0.800
Tb 0.935 0.274 0.870
In 0.500 0.000 0.000
Ag 0.218 0.619 0.436
Ag 0.782 0.381 0.564